VASP calculation (PBE-GGA) on a relaxed La2ScTl crystal.

Computed properties:
The final energy comes out at -4.81 eV/atom. The value obtained for the energy of formation from the pure elements is -0.175 eV/atom. The energy above the most stable polymorph in this dataset comes out at 0.05 eV/f.u. Its space group is No. 139. The magnetic moment is 0.0 μB per formula unit. The density of states at the Fermi level is 1.16 states/eV/atom.

a = 6.1381 Å, b = 6.1381 Å, c = 6.1381 Å
α = 133.84°, β = 133.84°, γ = 67.34°
Fractional positions:
La: 0.2500 0.7500 0.5000
La: 0.7500 0.2500 0.5000
Sc: 0.0000 0.0000 0.0000
Tl: 0.5000 0.5000 0.0000



VASP calculation (PBE-GGA) on a relaxed LaSc3Tl4 crystal.

Computed properties:
The final energy comes out at -4.45 eV/atom. The value obtained for the energy of formation from the pure elements is -0.272 eV/atom. Its space group is No. 51. The magnetic moment is 0.1 μB per formula unit. The density of states at the Fermi level is 0.91 states/eV/atom.

a = 10.5292 Å, b = 7.2196 Å, c = 5.3914 Å
α = 90.00°, β = 90.00°, γ = 90.00°
Fractional positions:
La: 0.0000 0.0000 0.0000
La: 0.5000 0.0000 0.0000
Sc: 0.0000 0.5000 0.0000
Sc: 0.2500 0.0000 0.4451
Sc: 0.2500 0.5000 0.4106
Sc: 0.5000 0.5000 0.0000
Sc: 0.7500 0.0000 0.5549
Sc: 0.7500 0.5000 0.5894
Tl: 0.0000 0.2695 0.5000
Tl: 0.0000 0.7305 0.5000
Tl: 0.2500 0.2689 0.9200
Tl: 0.2500 0.7311 0.9200
Tl: 0.5000 0.2695 0.5000
Tl: 0.5000 0.7305 0.5000
Tl: 0.7500 0.2689 0.0800
Tl: 0.7500 0.7311 0.0800



VASP calculation (PBE-GGA) on a relaxed La2ScTl crystal.

Computed properties:
The final energy comes out at -4.68 eV/atom. The value obtained for the energy of formation from the pure elements is -0.037 eV/atom. The energy above the most stable polymorph in this dataset comes out at 0.60 eV/f.u. Its space group is No. 216. The magnetic moment is 1.9 μB per formula unit. The density of states at the Fermi level is 1.51 states/eV/atom.

a = 5.4791 Å, b = 5.4791 Å, c = 5.4791 Å
α = 60.00°, β = 60.00°, γ = 60.00°
Fractional positions:
La: 0.0000 0.0000 0.0000
La: 0.2500 0.2500 0.2500
Sc: 0.5000 0.5000 0.5000
Tl: 0.7500 0.7500 0.7500



VASP calculation (PBE-GGA) on a relaxed La2ScTl crystal.

Computed properties:
The final energy comes out at -4.81 eV/atom. The value obtained for the energy of formation from the pure elements is -0.175 eV/atom. The energy above the most stable polymorph in this dataset comes out at 0.06 eV/f.u. Its space group is No. 8. The magnetic moment is 0.0 μB per formula unit. The density of states at the Fermi level is 1.32 states/eV/atom.

a = 6.5528 Å, b = 6.5528 Å, c = 5.8478 Å
α = 114.56°, β = 114.56°, γ = 32.58°
Fractional positions:
La: 0.0000 0.0000 0.0000
La: 0.2112 0.2112 0.8103
Sc: 0.7625 0.7625 0.3628
Tl: 0.4702 0.4702 0.4497



VASP calculation (PBE-GGA) on a relaxed La5ScTl3 crystal.

Computed properties:
The final energy comes out at -4.49 eV/atom. The value obtained for the energy of formation from the pure elements is -0.262 eV/atom. Its space group is No. 193. The magnetic moment is 0.9 μB per formula unit. The density of states at the Fermi level is 1.36 states/eV/atom.

a = 9.7134 Å, b = 9.7134 Å, c = 6.9343 Å
α = 90.00°, β = 90.00°, γ = 120.00°
Fractional positions:
La: 0.0000 0.3311 0.2500
La: 0.0000 0.6689 0.7500
La: 0.3311 0.0000 0.2500
La: 0.3311 0.3311 0.7500
La: 0.3333 0.6667 0.0000
La: 0.3333 0.6667 0.5000
La: 0.6667 0.3333 0.0000
La: 0.6667 0.3333 0.5000
La: 0.6689 0.0000 0.7500
La: 0.6689 0.6689 0.2500
Sc: 0.0000 0.0000 0.0000
Sc: 0.0000 0.0000 0.5000
Tl: 0.0000 0.3268 0.7500
Tl: 0.0000 0.6732 0.2500
Tl: 0.3268 0.0000 0.7500
Tl: 0.3268 0.3268 0.2500
Tl: 0.6732 0.0000 0.2500
Tl: 0.6732 0.6732 0.7500



VASP calculation (PBE-GGA) on a relaxed LaSc5Tl3 crystal.

Computed properties:
The final energy comes out at -5.10 eV/atom. The value obtained for the energy of formation from the pure elements is -0.243 eV/atom. Its space group is No. 193. The magnetic moment is 0.8 μB per formula unit. The density of states at the Fermi level is 1.16 states/eV/atom.

a = 8.9494 Å, b = 8.9494 Å, c = 6.4125 Å
α = 90.00°, β = 90.00°, γ = 120.00°
Fractional positions:
La: 0.0000 0.0000 0.0000
La: 0.0000 0.0000 0.5000
Sc: 0.0000 0.3304 0.2500
Sc: 0.0000 0.6696 0.7500
Sc: 0.3304 0.0000 0.2500
Sc: 0.3304 0.3304 0.7500
Sc: 0.3333 0.6667 0.0000
Sc: 0.3333 0.6667 0.5000
Sc: 0.6667 0.3333 0.0000
Sc: 0.6667 0.3333 0.5000
Sc: 0.6696 0.0000 0.7500
Sc: 0.6696 0.6696 0.2500
Tl: 0.0000 0.3462 0.7500
Tl: 0.0000 0.6538 0.2500
Tl: 0.3462 0.0000 0.7500
Tl: 0.3462 0.3462 0.2500
Tl: 0.6538 0.0000 0.2500
Tl: 0.6538 0.6538 0.7500



VASP calculation (PBE-GGA) on a relaxed La5ScTl4 crystal.

Computed properties:
The final energy comes out at -4.35 eV/atom. The value obtained for the energy of formation from the pure elements is -0.304 eV/atom. Its space group is No. 123. The magnetic moment is 0.0 μB per formula unit. The density of states at the Fermi level is 1.29 states/eV/atom.

a = 3.8332 Å, b = 3.8332 Å, c = 21.5434 Å
α = 90.00°, β = 90.00°, γ = 90.00°
Fractional positions:
La: 0.0000 0.0000 0.0000
La: 0.0000 0.0000 0.2013
La: 0.0000 0.0000 0.3995
La: 0.0000 0.0000 0.6005
La: 0.0000 0.0000 0.7987
Sc: 0.5000 0.5000 0.5000
Tl: 0.5000 0.5000 0.1014
Tl: 0.5000 0.5000 0.3019
Tl: 0.5000 0.5000 0.6981
Tl: 0.5000 0.5000 0.8986



VASP calculation (PBE-GGA) on a relaxed La2ScTl3 crystal.

Computed properties:
The final energy comes out at -4.25 eV/atom. The value obtained for the energy of formation from the pure elements is -0.374 eV/atom. Its space group is No. 123. The magnetic moment is 0.0 μB per formula unit. The density of states at the Fermi level is 0.77 states/eV/atom.

a = 3.7707 Å, b = 3.7707 Å, c = 12.0777 Å
α = 90.00°, β = 90.00°, γ = 90.00°
Fractional positions:
La: 0.0000 0.0000 0.1794
La: 0.0000 0.0000 0.8206
Sc: 0.0000 0.0000 0.5000
Tl: 0.5000 0.5000 0.0000
Tl: 0.5000 0.5000 0.3606
Tl: 0.5000 0.5000 0.6394



Q: Which formula does entry 7 have?
A: La5ScTl4